Here is a geometry-optimized NaTmNiSe3 structure from OQMD. Energies are from PBE.

Output
Mass density ... 6.08 g cm⁻³
Total magnetic moment ... 0.0 μB per formula unit
Raw total energy ... -4.654 eV/atom

Geometry as POSCAR:
```
NaTmNiSe3
1.0
8.1934 -2.0243 0.0000
8.1934 2.0243 0.0000
-2.0079 0.0000 8.0337
Na Tm Ni Se
2 2 2 6
direct
0.1328 0.1328 0.0684 Na
0.8672 0.8672 0.9316 Na
0.1710 0.1710 0.5979 Tm
0.8290 0.8290 0.4021 Tm
0.4962 0.4962 0.3050 Ni
0.5038 0.5038 0.6950 Ni
0.0000 0.0000 0.5000 Se
0.3439 0.3439 0.1835 Se
0.3461 0.3461 0.6487 Se
0.5000 0.5000 0.0000 Se
0.6539 0.6539 0.3513 Se
0.6561 0.6561 0.8165 Se
```